1.
Computed, not measured: PrNdBi after structural relaxation at the PBE-GGA level of DFT.

Results
As for the size of the total moment: 0.00 μB/cell. For the total energy, the calculation gives -5.013 eV per atom. The volume is 31.78 Å³/atom.

The structure in CIF format:
```
data_PrNdBi
_chemical_formula_sum 'Pr2 Nd2 Bi2'
_symmetry_space_group_name_H-M 'I 4 m m'
_symmetry_Int_Tables_number 107
_symmetry_space_group_name_Hall 'I 4 -2'
_cell_length_a 4.2581
_cell_length_b 4.2581
_cell_length_c 10.5152
_cell_angle_alpha 90.00
_cell_angle_beta 90.00
_cell_angle_gamma 90.00
loop_
_atom_site_label
_atom_site_type_symbol
_atom_site_fract_x
_atom_site_fract_y
_atom_site_fract_z
Pr1 Pr 0.0000 0.0000 0.0000
Nd1 Nd 0.0000 0.0000 0.3102
Bi1 Bi 0.0000 0.0000 0.6566
```

---

2.
Computed, not measured: Ta2TiN after structural relaxation at the PBE-GGA level of DFT.

Results
As for the size of the total moment: 0.00 μB/cell. For the uncorrected formation energy, the calculation gives -0.41 eV/atom. For the total energy, the calculation gives -10.388 eV per atom. The volume is 15.14 Å³/atom.

The structure in CIF format:
```
data_Ta2TiN
_chemical_formula_sum 'Ta8 Ti4 N4'
_symmetry_space_group_name_H-M 'I -4 2 d'
_symmetry_Int_Tables_number 122
_symmetry_space_group_name_Hall 'I -4 2bw'
_cell_length_a 7.4353
_cell_length_b 7.4353
_cell_length_c 4.3828
_cell_angle_alpha 90.00
_cell_angle_beta 90.00
_cell_angle_gamma 90.00
loop_
_atom_site_label
_atom_site_type_symbol
_atom_site_fract_x
_atom_site_fract_y
_atom_site_fract_z
Ta1 Ta 0.1241 0.7500 0.1250
Ti1 Ti 0.0000 0.0000 0.5000
N1 N 0.0000 0.0000 0.0000
```

---

Which formula does entry 1 have?
PrNdBi